[1]
In3NiSe | PBE | optimized geometry

As for the space group: Pm-3m, No. 221. The polymorph energy (0 for the lowest one) is 0 meV/atom. The value obtained for the formation energy (no corrections) is -122 meV/atom. The value obtained for the energy is -3.619 eV/atom.

Lattice parameters (Å, degrees): 4.9884 4.9884 4.9884 90.00 90.00 90.00
Atoms (fractional coordinates):
In: 0.0000 0.5000 0.0000
In: 0.0000 0.0000 0.5000
In: 0.5000 0.0000 0.0000
Se: 0.5000 0.5000 0.5000
Ni: 0.0000 0.0000 0.0000


[2]
Pm2SmHoMg | PBE | optimized geometry

As for the space group: P2_1/m, No. 11. The calculation puts the energy relative to the elements at 18 meV/atom. The value obtained for the energy is -4.061 eV/atom.

Lattice parameters (Å, degrees): 5.6601 6.1873 9.5206 70.82 90.00 90.00
Atoms (fractional coordinates):
Pm: 0.2500 0.2511 0.2012
Pm: 0.7500 0.7489 0.7988
Pm: 0.7500 0.9838 0.3918
Pm: 0.2500 0.0162 0.6082
Ho: 0.2500 0.8317 0.0037
Ho: 0.7500 0.1683 0.9963
Sm: 0.2500 0.6428 0.3910
Sm: 0.7500 0.3572 0.6090
Mg: 0.7500 0.5837 0.1924
Mg: 0.2500 0.4163 0.8076


[3]
Hf2Bi2I | PBE | optimized geometry

As for the space group: P4/mbm, No. 127. The value obtained for the formation energy (no corrections) is -114 meV/atom. The value obtained for the energy is -5.958 eV/atom.

Lattice parameters (Å, degrees): 8.3482 8.3482 3.8238 90.00 90.00 90.00
Atoms (fractional coordinates):
Hf: 0.6406 0.1406 0.0000
Hf: 0.3594 0.8594 0.0000
Hf: 0.8594 0.6406 0.0000
Hf: 0.1406 0.3594 0.0000
Bi: 0.8526 0.3526 0.5000
Bi: 0.1474 0.6474 0.5000
Bi: 0.3526 0.1474 0.5000
Bi: 0.6474 0.8526 0.5000
I: 0.5000 0.5000 0.0000
I: 0.0000 0.0000 0.0000


[4]
VZnB | PBE | optimized geometry

As for the space group: Cmcm, No. 63. The polymorph energy (0 for the lowest one) is 34 meV/atom. The calculation puts the energy relative to the elements at -383 meV/atom. The value obtained for the energy is -6.073 eV/atom.

Lattice parameters (Å, degrees): 3.0431 14.8314 2.9371 90.00 90.00 90.00
Atoms (fractional coordinates):
B: 0.0000 0.9694 0.2500
B: 0.5000 0.4694 0.2500
B: 0.5000 0.5306 0.7500
B: 0.0000 0.0306 0.7500
V: 0.5000 0.0791 0.2500
V: 0.0000 0.5791 0.2500
V: 0.0000 0.4209 0.7500
V: 0.5000 0.9209 0.7500
Zn: 0.5000 0.6942 0.7500
Zn: 0.0000 0.1942 0.7500
Zn: 0.5000 0.3058 0.2500
Zn: 0.0000 0.8058 0.2500


[5]
CsInO2 | PBE | optimized geometry

As for the space group: Pmn2_1, No. 31. The value obtained for the formation energy (no corrections) is -1401 meV/atom. The value obtained for the energy is -4.779 eV/atom.

Lattice parameters (Å, degrees): 5.9359 7.8317 3.3238 90.01 89.99 90.00
Atoms (fractional coordinates):
Cs: 0.8017 0.1827 0.2257
Cs: 0.3018 0.4512 0.7264
O: 0.1605 0.7748 0.2273
O: 0.8049 0.5184 0.7272
O: 0.3049 0.1156 0.2275
O: 0.6605 0.8592 0.7272
In: 0.3083 0.9341 0.7274
In: 0.8083 0.6999 0.2272


[6]
AcTm2UO8 | PBE | optimized geometry

As for the space group: Pmmm, No. 47. The value obtained for the formation energy (no corrections) is -3262 meV/atom. The value obtained for the energy is -8.596 eV/atom.

Lattice parameters (Å, degrees): 3.9265 5.3396 7.7593 90.00 90.00 90.00
Site moments in Bohr magnetons follow the coordinates.
Atoms (fractional coordinates):
O: 0.4999 0.2351 0.0000  0.00
O: 0.9999 0.2480 0.7831  0.00
O: 0.9999 0.2480 0.2169  0.00
O: 0.4998 0.2922 0.5000  0.39
O: 0.5001 0.7649 0.0000  0.00
O: 0.0001 0.7520 0.2169  0.00
O: 0.5002 0.7078 0.5000  0.39
O: 0.0001 0.7520 0.7831  0.00
Tm: 0.5000 0.5000 0.2294  -0.01
Tm: 0.5000 0.5000 0.7706  -0.01
U: 0.0000 0.0000 0.0000  0.00
Ac: 0.0000 0.0000 0.5000  0.05